First-principles (PBE) data for crystalline Sr2P3Pd3 at its relaxed geometry, as listed in the Open Quantum Materials Database.

Properties
* SG: Pmmm
* E: -5.302 eV/atom
* crystal system: orthorhombic

Lattice parameters (Å, degrees): 4.2270 4.2654 34.4412 90.00 90.00 90.00
With the nearest neighbours (Å) after each atom.
Fractional positions:
P 0.0000 0.0000 0.0398  5 Pd 2.41-2.53
P 0.5000 0.0000 0.1447  1 P 2.27, 2 Pd 2.43
P 0.5000 0.0000 0.2105  1 P 2.27, 4 Pd 2.48-2.52
P 0.0000 0.5000 0.2876  1 P 2.28, 4 Pd 2.48-2.53
P 0.0000 0.5000 0.3537  1 P 2.28, 2 Pd 2.44
P 0.5000 0.5000 0.4597  5 Pd 2.42-2.55
P 0.5000 0.5000 0.5403  5 Pd 2.42-2.55
P 0.0000 0.5000 0.6463  1 P 2.28, 2 Pd 2.44
P 0.0000 0.5000 0.7124  1 P 2.28, 4 Pd 2.48-2.53
P 0.5000 0.0000 0.7895  1 P 2.27, 4 Pd 2.48-2.52
P 0.5000 0.0000 0.8553  1 P 2.27, 2 Pd 2.43
P 0.0000 0.0000 0.9602  5 Pd 2.41-2.53
Pd 0.5000 0.0000 0.0000  4 P 2.52
Pd 0.0000 0.5000 0.0000  4 P 2.53
Pd 0.0000 0.0000 0.1097  3 P 2.41-2.43
Pd 0.0000 0.0000 0.2480  4 P 2.48-2.53
Pd 0.5000 0.5000 0.2497  4 P 2.48-2.52
Pd 0.5000 0.5000 0.3893  3 P 2.42-2.44
Pd 0.5000 0.0000 0.5000  4 P 2.55
Pd 0.0000 0.5000 0.5000  4 P 2.53
Pd 0.5000 0.5000 0.6107  3 P 2.42-2.44
Pd 0.5000 0.5000 0.7503  4 P 2.48-2.52
Pd 0.0000 0.0000 0.7520  4 P 2.48-2.53
Pd 0.0000 0.0000 0.8903  3 P 2.41-2.43
Sr 0.5000 0.5000 0.0722  6 P 3.20-3.28, 8 Pd 3.26-3.28
Sr 0.0000 0.5000 0.1765  6 Pd 3.14-3.29, 8 P 3.20-3.22
Sr 0.5000 0.0000 0.3215  6 Pd 3.16-3.30, 8 P 3.20-3.22
Sr 0.0000 0.0000 0.4271  6 P 3.20-3.31, 8 Pd 3.27-3.29
Sr 0.0000 0.0000 0.5729  6 P 3.20-3.31, 8 Pd 3.27-3.29
Sr 0.5000 0.0000 0.6785  6 Pd 3.16-3.30, 8 P 3.20-3.22
Sr 0.0000 0.5000 0.8235  6 Pd 3.14-3.29, 8 P 3.20-3.22
Sr 0.5000 0.5000 0.9278  6 P 3.20-3.28, 8 Pd 3.26-3.28